1.
This record from Alexandria describes Er4In2O after structural relaxation. The functional is PBE.

## Properties
**Calculated volume**: 359.8 Å³/cell
**ρ**: 8.443 g cm⁻³
**Final energy**: -72.99 eV/cell
**SG**: P2_1/m (11)
**Total magnetization**: 0.0002 μB/atom
**DOS(E_F)**: 6.31 states/eV per cell
**Energy relative to the elements, uncorrected**: -1115.5 meV/atom

abc: 6.3124 6.7748 8.9515
angles: 90.00 109.98 90.00
Atoms (fractional coordinates):
Er: 0.0482 0.0017 0.2834
Er: 0.0482 0.4983 0.2834
Er: 0.3551 0.7500 0.0458
Er: 0.4177 0.7500 0.6501
Er: 0.5823 0.2500 0.3499
Er: 0.6449 0.2500 0.9542
Er: 0.9518 0.5017 0.7166
Er: 0.9518 0.9983 0.7166
In: 0.1968 0.2500 0.0219
In: 0.3208 0.2500 0.5937
In: 0.6792 0.7500 0.4063
In: 0.8032 0.7500 0.9781
O: 0.1918 0.7500 0.7892
O: 0.8082 0.2500 0.2108


2.
This record from Alexandria describes Pr2MgPb after structural relaxation. The functional is PBE.

## Properties
**Calculated volume**: 120.6 Å³/cell
**Calculated formation energy**: -0.359 eV/atom
**ρ**: 7.070 g cm⁻³
**Final energy**: -16.30 eV/cell
**SG**: P4/mmm (123)
**Total magnetization**: 0.0000 μB/atom
**DOS(E_F)**: 2.60 states/eV per cell

abc: 5.1541 5.1541 4.5387
angles: 90.00 90.00 90.00
Atoms (fractional coordinates):
Pr: 0.0000 0.5000 0.0000
Pr: 0.5000 0.0000 0.0000
Mg: 0.0000 0.0000 0.5000
Pb: 0.5000 0.5000 0.5000